Entry 1:
Crystalline LiZr2VIn at its relaxed geometry, computed with GGA-PBE.

Properties
ΔE_f	0.72	eV per atom

Cell lengths 4.723, 4.723, 4.612 Å; angles 90.00, 90.00, 90.00 degrees
Space group P4/mmm (No. 123)
One atom of each set of equivalent atoms:
Li1 0.000 0.000 0.000 x1
Zr1 0.000 0.500 0.000 x2
V1 0.500 0.500 0.500 x1
In1 0.000 0.000 0.500 x1


Entry 2:
Crystalline LiInW2 at its relaxed geometry, computed with GGA-PBE.

Properties
ΔE_f	0.46	eV per atom

Cell lengths 2.746, 2.746, 9.153 Å; angles 90.00, 90.00, 90.00 degrees
Space group P4mm (No. 99)
One atom of each set of equivalent atoms:
Li1 0.000 0.000 0.000 x1
In1 0.500 0.500 0.753 x1
W1 0.000 0.000 0.495 x1
W2 0.500 0.500 0.248 x1


Entry 3:
Crystalline LiIn2W at its relaxed geometry, computed with GGA-PBE.

Properties
ΔE_f	0.26	eV per atom

Cell lengths 3.0444, 3.0444, 28.7135 Å; angles 90.00, 90.00, 120.00 degrees
Space group R-3m (No. 166, hexagonal axes)
One atom of each set of equivalent atoms:
Li1 0.0000 0.0000 0.0000 x3
In1 0.0000 0.0000 0.2508 x6
W1 0.0000 0.0000 0.5000 x3


Entry 4:
Crystalline LiInW2 at its relaxed geometry, computed with GGA-PBE.

Properties
ΔE_f	0.76	eV per atom

Cell lengths 3.748, 3.748, 20.308 Å; angles 90.00, 90.00, 90.00 degrees
Space group I-42d (No. 122)
One atom of each set of equivalent atoms:
Li1 0.000 0.000 0.000 x4
In1 0.000 0.000 0.500 x4
W1 0.246 0.250 0.125 x8


Entry 5:
Crystalline LiInW2 at its relaxed geometry, computed with GGA-PBE.

Properties
ΔE_f	0.74	eV per atom

Cell lengths 2.751, 2.751, 9.055 Å; angles 90.00, 90.00, 90.00 degrees
Space group P4/mmm (No. 123)
One atom of each set of equivalent atoms:
Li1 0.000 0.000 0.000 x1
In1 0.000 0.000 0.500 x1
W1 0.500 0.500 0.246 x2


Entry 6:
Crystalline LiIn2W at its relaxed geometry, computed with GGA-PBE.

Properties
ΔE_f	0.29	eV per atom

Cell lengths 10.752, 2.980, 5.005 Å; angles 90.00, 109.55, 90.00 degrees
Space group Cm (No. 8)
One atom of each set of equivalent atoms:
Li1 0.000 0.000 0.000 x2
In1 0.017 0.500 0.533 x2
In2 0.258 0.500 0.101 x2
W1 0.258 0.000 0.597 x2